Here is Y2ZrFe after structural relaxation from Alexandria. Energies are from PBE.

Cell and atoms, written as extended XYZ:
```
4
Lattice="3.4192 0.0000 0.0000 0.0000 3.4192 0.0000 0.0000 0.0000 8.0762" Properties=species:S:1:pos:R:3 pbc="T T T"
Y 0.0000 0.0000 1.6735
Y 0.0000 0.0000 6.4027
Zr 1.7096 1.7096 4.0381
Fe 1.7096 1.7096 0.0000
```

Values from the calculation:
**Magnetic moment**: 2.02 μB/cell
**Total DFT energy (no corrections)**: -7.30 eV per atom
**D(E_F)**: 8.00 states/eV/f.u.
**ΔH_f (0 K)**: 189 meV/atom
**Space group**: P4/mmm (123)